[1]
! GGA-PBE MnHg2Se, optimized geometry; values from VASP
! Raw total energy, eV/atom: -3.1146
! SG: Cmmm
! ΔE_f (raw), eV/atom: 0.200
! Density, g cm⁻³: 9.6
! Spin magnetization, μB per cell: 4.648
&SYSTEM
  ibrav = 0, nat = 4, ntyp = 3
/
ATOMIC_SPECIES
Se 78.96 Se.upf
Hg 200.59 Hg.upf
Mn 54.94 Mn.upf
CELL_PARAMETERS angstrom
5.085 0.046 0.000
-2.298 4.536 0.000
0.000 0.000 3.998
ATOMIC_POSITIONS crystal
Se 0.000 0.500 0.500
Hg 0.500 0.500 0.000
Mn 0.500 0.000 0.500
Hg 0.000 0.000 0.000

[2]
! GGA-PBE ZrGaFe2H, optimized geometry; values from VASP
! Raw total energy, eV/atom: -6.4972
! SG: P4/mmm
! Density, g cm⁻³: 7.3
! Spin magnetization, μB per cell: 3.714
&SYSTEM
  ibrav = 0, nat = 5, ntyp = 4
/
ATOMIC_SPECIES
Fe 55.84 Fe.upf
Ga 69.72 Ga.upf
H 1.01 H.upf
Zr 91.22 Zr.upf
CELL_PARAMETERS angstrom
3.878 0.000 0.000
0.000 3.878 0.000
0.000 0.000 4.126
ATOMIC_POSITIONS crystal
Fe 0.500 0.000 0.000
Fe 0.000 0.500 0.000
Ga 0.500 0.500 0.500
H 0.000 0.000 0.000
Zr 0.000 0.000 0.500

[3]
! GGA-PBE PPtRh2O, optimized geometry; values from VASP
! Raw total energy, eV/atom: -5.7271
! SG: P4/mmm
! ΔE_f (raw), eV/atom: 0.495
! Density, g cm⁻³: 10.2
! Spin magnetization, μB per cell: 0.000
&SYSTEM
  ibrav = 0, nat = 5, ntyp = 4
/
ATOMIC_SPECIES
Pt 195.08 Pt.upf
Rh 102.91 Rh.upf
P 30.97 P.upf
O 16.00 O.upf
CELL_PARAMETERS angstrom
4.029 0.000 0.000
0.000 4.471 0.000
0.000 0.000 4.029
ATOMIC_POSITIONS crystal
Pt 0.000 0.500 0.000
Rh 0.000 0.000 0.500
Rh 0.500 0.000 0.000
P 0.500 0.500 0.500
O 0.000 0.000 0.000